This record from Alexandria via LeMat-Bulk describes a geometry-optimized Tl2HgMo structure. The functional is PBE.

a b c (Å): 6.287 9.247 3.129
angles (deg): 90.00 101.55 90.00
Space group C2/m (No. 12)
Asymmetric unit:
Tl1 0.250 0.250 0.000
Hg1 0.000 0.000 0.500
Mo1 0.000 0.500 0.500

Computed properties:
formation energy from the elements: 696 meV/atom
energy above the lowest structure with this stoichiometry: 146 meV per atom



This record from Alexandria via LeMat-Bulk describes a geometry-optimized TaCo2HOs structure. The functional is PBE.

a b c (Å): 3.766 3.766 3.849
angles (deg): 90.00 90.00 90.00
Space group P4/mmm (No. 123)
Asymmetric unit:
Ta1 0.000 0.000 0.000
Co1 0.000 0.500 0.500
H1 0.500 0.500 0.500
Os1 0.500 0.500 0.000

Computed properties:
energy above the lowest structure with this stoichiometry: 0 meV per atom



This record from Alexandria via LeMat-Bulk describes a geometry-optimized TbTa4Ru5 structure. The functional is PBE.

a b c (Å): 3.143 3.143 17.107
angles (deg): 90.00 90.00 90.00
Space group P4/mmm (No. 123)
Asymmetric unit:
Tb1 0.000 0.000 0.000
Ta1 0.000 0.000 0.210
Ta2 0.000 0.000 0.404
Ru1 0.500 0.500 0.127
Ru2 0.500 0.500 0.311
Ru3 0.500 0.500 0.500

Computed properties:
formation energy from the elements: -369 meV/atom



This record from Alexandria via LeMat-Bulk describes a geometry-optimized HgPtN2F structure. The functional is PBE.

a b c (Å): 4.256 4.256 4.241
angles (deg): 90.00 90.00 90.00
Space group P4/mmm (No. 123)
Asymmetric unit:
Hg1 0.000 0.000 0.000
Pt1 0.500 0.500 0.500
N1 0.000 0.500 0.000
F1 0.000 0.000 0.500

Computed properties:
energy above the lowest structure with this stoichiometry: 1279 meV per atom
E_form (uncorrected): 1988 meV per atom



This record from Alexandria via LeMat-Bulk describes a geometry-optimized SrLa2Os2 structure. The functional is PBE.

a b c (Å): 8.419 8.419 3.626
angles (deg): 90.00 90.00 90.00
Space group P4/mbm (No. 127)
Asymmetric unit:
Sr1 0.000 0.000 0.000
La1 0.146 0.354 0.500
Os1 0.144 0.644 0.000

Computed properties:
formation energy from the elements: 239 meV/atom
energy above the lowest structure with this stoichiometry: 0 meV per atom



This record from Alexandria via LeMat-Bulk describes a geometry-optimized CsBaP2S structure. The functional is PBE.

a b c (Å): 6.332 6.332 5.902
angles (deg): 90.00 90.00 90.00
Space group P4/mmm (No. 123)
Asymmetric unit:
Cs1 0.000 0.000 0.000
Ba1 0.500 0.500 0.500
P1 0.000 0.500 0.500
S1 0.500 0.500 0.000

Computed properties:
energy above the lowest structure with this stoichiometry: 0 meV per atom
E_form (uncorrected): 287 meV per atom



This record from Alexandria via LeMat-Bulk describes a geometry-optimized Na2NbMo structure. The functional is PBE.

a b c (Å): 6.987 6.987 6.987
angles (deg): 90.00 90.00 90.00
Space group Fm-3m (No. 225)
Asymmetric unit:
Na1 0.250 0.250 0.250
Nb1 0.000 0.000 0.000
Mo1 0.000 0.000 0.500

Computed properties:
formation energy from the elements: 1600 meV/atom
energy above the lowest structure with this stoichiometry: 164 meV per atom



This record from Alexandria via LeMat-Bulk describes a geometry-optimized Zn6RuAu3 structure. The functional is PBE.

a b c (Å): 7.496 4.449 9.881
angles (deg): 90.00 110.42 90.00
Space group P2_1/m (No. 11)
Asymmetric unit:
Zn1 0.005 0.250 0.163
Zn2 0.195 0.250 0.970
Zn3 0.197 0.750 0.626
Zn4 0.381 0.250 0.253
Zn5 0.387 0.750 0.413
Zn6 0.430 0.250 0.776
Ru1 0.186 0.750 0.123
Au1 0.018 0.250 0.676
Au2 0.229 0.250 0.475
Au3 0.385 0.750 0.915

Computed properties:
formation energy from the elements: -151 meV/atom



Values for total DFT energy (no corrections), eV per cell, ordered as above
-26.16, -41.48, -102.11, -14.92, -65.60, -16.29, -68.55, -56.52
Values for density, Mg/m³, ordered as above
13.142, 14.904, 13.641, 9.569, 9.639, 2.556, 4.572, 11.663